A relaxed ErMnBi2O6 crystal, computed with GGA+U.

a b c (Å): 5.9694 5.6220 6.0642
angles (deg): 62.41 58.08 62.13
Last column: magnetic moment on the atom in μB.
Fractional coordinates of all 10 atoms:
O  0.1093  0.4657  0.7694  0.03
O  0.6119  0.1721  0.2444  0.03
O  0.1328  0.9683  0.2596  -0.03
O  0.6593  0.1058  0.7274  -0.03
O  0.9559  0.5940  0.2993  -0.04
O  0.4878  0.6770  0.7564  -0.03
Bi  0.0359  0.0421  0.9150  0.01
Bi  0.5372  0.5123  0.4238  0.01
Er  0.3163  0.3112  0.0727  0.01
Mn  0.8151  0.8132  0.5473  3.90

Output
- total DFT energy (no corrections) (eV/atom) = -6.82



A relaxed ErMn2BiO8 crystal, computed with GGA+U.

a b c (Å): 5.6903 5.6903 6.7583
angles (deg): 90.00 90.00 120.00
Last column: magnetic moment on the atom in μB.
Fractional coordinates of all 12 atoms:
O  0.8355  0.1633  0.2710  -0.02
O  0.6721  0.8355  0.7290  -0.02
O  0.1645  0.8367  0.7290  -0.02
O  0.8367  0.6721  0.2710  -0.02
O  0.6667  0.3333  0.9525  -0.04
O  0.3333  0.6667  0.0475  -0.04
O  0.1633  0.3279  0.7290  -0.02
O  0.3279  0.1645  0.2710  -0.02
Bi  0.0000  0.0000  0.0000  0.06
Mn  0.3333  0.6667  0.8057  1.99
Mn  0.6667  0.3333  0.1943  1.99
Er  0.0000  0.0000  0.5000  0.00

Output
- total DFT energy (no corrections) (eV/atom) = -6.70